# ZrPa14Ti, relaxed, DFT PBE
# - Size of the total moment: 0.0 μB/f.u.
# - Energy of formation from the pure elements: 0.050 eV/atom
# - Crystal system: tetragonal
data_ZrPa14Ti
_chemical_formula_sum 'Zr1 Pa14 Ti1'
_space_group_name_H-M_alt 'P 4/m m m'
_space_group_IT_number 123
_space_group_name_Hall '-P 4 2'
_cell_length_a 6.403
_cell_length_b 6.403
_cell_length_c 9.572
_cell_angle_alpha 90.00
_cell_angle_beta 90.00
_cell_angle_gamma 90.00
loop_
_atom_site_label
_atom_site_type_symbol
_atom_site_fract_x
_atom_site_fract_y
_atom_site_fract_z
Zr1 Zr 0.000 0.000 0.000
Pa1 Pa 0.000 0.000 0.500
Pa2 Pa 0.000 0.500 0.000
Pa3 Pa 0.000 0.500 0.500
Pa4 Pa 0.253 0.253 0.244
Pa5 Pa 0.500 0.500 0.500
Ti1 Ti 0.500 0.500 0.000